1.
28
Lattice="4.4532 0.0000 0.0000 0.0000 13.5066 0.0000 0.0000 0.0000 9.4501" Properties=species:S:1:pos:R:3 comment="Pm3Al5Au6 PBE relaxed" formation_enthalpy_0k_ev_per_atom=-0.693 sg="Pmmn, No. 59" magnetic_moment_mub_per_cell=0.0 pbc="T T T"
Pm 1.1133 0.7312 2.3338
Pm 1.1133 6.0221 2.3338
Pm 1.1133 10.1299 2.4813
Pm 3.3399 3.3766 6.9688
Pm 3.3399 7.4844 7.1163
Pm 3.3399 12.7754 7.1163
Al 1.1133 1.0924 5.7152
Al 1.1133 5.6609 5.7152
Al 1.1133 8.2999 9.2496
Al 1.1133 10.1299 7.0223
Al 1.1133 11.9600 9.2496
Al 3.3399 1.5466 0.2006
Al 3.3399 3.3766 2.4278
Al 3.3399 5.2067 0.2006
Al 3.3399 7.8457 3.7349
Al 3.3399 12.4142 3.7349
Au 1.1133 1.1517 8.2925
Au 1.1133 3.3766 0.7350
Au 1.1133 3.3766 4.3023
Au 1.1133 5.6016 8.2925
Au 1.1133 8.2359 5.0136
Au 1.1133 12.0239 5.0136
Au 3.3399 1.4826 4.4365
Au 3.3399 5.2706 4.4365
Au 3.3399 7.9050 1.1576
Au 3.3399 10.1299 5.1479
Au 3.3399 10.1299 8.7152
Au 3.3399 12.3549 1.1576


2.
3
Lattice="5.1709 0.0000 0.0000 -2.5854 4.4781 0.0000 0.0000 0.0000 4.3361" Properties=species:S:1:pos:R:3 comment="CaHoBi PBE relaxed" formation_enthalpy_0k_ev_per_atom=-0.310 sg="P3m1, No. 156" magnetic_moment_mub_per_cell=0.0 pbc="T T T"
Ca 0.0000 0.0000 0.0000
Ho 0.0000 2.9854 2.2752
Bi 2.5855 1.4927 1.5106


3.
20
Lattice="5.3408 -4.7142 0.0000 5.3408 4.7142 0.0000 -1.7646 0.0000 5.8024" Properties=species:S:1:pos:R:3 comment="YPaW2N6 PBE relaxed" raw_formation_energy_ev_per_fu=-9.5 sg="C2/c, No. 15" magnetic_moment_mub_per_cell=0.0 pbc="T T T"
Y 4.0174 3.8914 4.3518
Y 4.8997 -3.8914 1.4506
Pa 4.8997 1.7482 1.4506
Pa 4.0174 -1.7482 4.3518
W 1.8683 0.9066 4.2820
W 2.7506 -0.9066 1.3808
W 6.1665 0.9066 4.4216
W 7.0488 -0.9066 1.5204
N 3.5112 3.6096 2.0250
N 2.4711 2.4195 5.1652
N 6.2882 3.6096 0.8762
N 3.0286 0.3228 2.8406
N 5.5637 2.4195 3.5384
N 2.1463 -0.3228 5.7418
N 6.7708 0.3228 0.0606
N 3.3534 -2.4195 2.2640
N 5.8885 -0.3228 2.9618
N 2.6289 -3.6096 4.9262
N 6.4460 -2.4195 0.6372
N 5.4060 -3.6096 3.7774


4.
9
Lattice="6.5047 -1.7168 0.0000 6.5047 1.7168 0.0000 -1.9466 0.0000 5.7391" Properties=species:S:1:pos:R:3 comment="Sm2UCr2C4 PBE relaxed" formation_enthalpy_0k_ev_per_atom=-0.057 sg="C2/m, No. 12" magnetic_moment_mub_per_cell=1.0 pbc="T T T"
Sm 1.6826 0.0000 0.2494
Sm 9.3802 0.0000 5.4897
U -0.9733 0.0000 2.8695
Cr 3.1438 0.0000 2.8927
Cr 7.9189 0.0000 2.8464
C 1.4809 0.0000 3.9646
C 4.5910 0.0000 4.1913
C 6.4718 0.0000 1.5478
C 9.5819 0.0000 1.7745


5.
5
Lattice="2.0249 1.1691 4.1799 -2.0249 1.1691 4.1799 0.0000 -2.3381 4.1799" Properties=species:S:1:pos:R:3 comment="Zn2Ni3 PBE relaxed" polymorph_energy_mev_per_atom=0 formation_enthalpy_0k_ev_per_atom=-0.131 sg="R-3m, No. 166" magnetic_moment_mub_per_cell=0.0 pbc="T T T"
Zn 0.0000 0.0000 1.2499
Zn 0.0000 0.0000 11.2898
Ni 0.0000 0.0000 3.7545
Ni 0.0000 0.0000 6.2698
Ni 0.0000 0.0000 8.7852


6.
5
Lattice="1.9880 -7.0356 0.0000 1.9880 7.0356 0.0000 0.0000 0.0000 3.7688" Properties=species:S:1:pos:R:3 comment="Pm2Ni2Ag PBE relaxed" polymorph_energy_mev_per_atom=0 formation_enthalpy_0k_ev_per_atom=-0.352 sg="Cmmm, No. 65" magnetic_moment_mub_per_cell=0.0 pbc="T T T"
Pm 1.9880 5.1437 0.0000
Pm 1.9880 -5.1437 0.0000
Ni 1.9880 2.8135 1.8844
Ni 1.9880 -2.8135 1.8844
Ag 1.9880 0.0000 1.8844